! Rb4Y3FeO8 | the Alexandria database | GGA+U | relaxed; values from VASP
! DFT total energy: -6.592 eV/atom
&SYSTEM
  ibrav = 0, nat = 16, ntyp = 4
/
ATOMIC_SPECIES
Rb 85.47 Rb.upf
Y 88.91 Y.upf
Fe 55.84 Fe.upf
O 16.00 O.upf
ATOMIC_POSITIONS crystal
Rb 0.000 0.000 0.000
Rb 0.000 0.500 0.500
Rb 0.500 0.000 0.500
Rb 0.500 0.500 0.000
Y 0.000 0.000 0.500
Y 0.000 0.500 0.000
Y 0.500 0.000 0.000
Fe 0.500 0.500 0.500
O 0.226 0.226 0.226
O 0.241 0.716 0.716
O 0.284 0.284 0.759
O 0.284 0.759 0.284
O 0.716 0.241 0.716
O 0.716 0.716 0.241
O 0.759 0.284 0.284
O 0.774 0.774 0.774
CELL_PARAMETERS angstrom
3.438 1.985 6.525
-3.438 1.985 6.525
0.000 -3.970 6.525